Computed, not measured: an optimized crystal structure of KTeI6 at the PBE-GGA level of DFT.

Geometry as POSCAR:
```
KTeI6
1.0
7.082 0.000 0.000
-1.247 7.183 0.000
-2.525 -2.221 7.250
K Te I
1 1 6
Cartesian
0.000 0.000 0.000
-1.886 2.481 3.625
0.178 3.667 1.834
-0.081 0.135 4.031
-0.637 3.793 6.015
3.946 1.169 1.235
3.391 4.827 3.219
3.132 1.295 5.416
```

Output
- formation energy from raw total energies (meV/atom) = -357
- energy (eV per cell) = -16.4

Computed, not measured: an optimized crystal structure of KTeI3 at the PBE-GGA level of DFT.

Geometry as POSCAR:
```
KTeI3
1.0
5.687 0.000 0.000
-2.748 9.544 0.000
-2.669 -3.161 9.038
K Te I
2 2 6
Cartesian
4.333 1.208 2.539
-4.062 5.175 6.499
0.110 5.850 1.529
0.160 0.533 7.509
-1.076 8.485 1.484
-1.047 4.930 4.013
-1.214 3.322 7.819
1.485 3.061 1.219
1.317 1.453 5.025
1.346 -2.102 7.554
```

Output
- formation energy from raw total energies (meV/atom) = -595
- energy (eV per cell) = -23.7

Computed, not measured: an optimized crystal structure of K2Te2I at the PBE-GGA level of DFT.

Geometry as POSCAR:
```
K2Te2I
1.0
-2.245 2.245 9.721
2.245 -2.245 9.721
2.245 2.245 -9.721
K Te I
2 2 1
Cartesian
0.000 0.000 2.012
0.000 0.000 17.430
2.245 0.000 4.860
0.000 2.245 4.860
0.000 0.000 9.721
```

Output
- formation energy from raw total energies (meV/atom) = -940
- energy (eV per cell) = -14.7

> Which formula does entry 1 have?

KTeI6